[1]
Below is crystalline Rb2MgU2Se6 at its relaxed geometry, with properties calculated at the PBE level.

Unit cell a=7.152 b=7.152 c=8.531 alpha=97.89 beta=97.89 gamma=120.08
Each line ends with the local moment (μB).
Fractional coordinates of all 11 atoms:
Se: 0.396 0.062 0.689  -0.06
Se: 0.732 0.732 0.687  -0.06
U: 0.666 0.334 0.500  2.12
Se: 0.268 0.268 0.313  -0.06
Rb: 0.165 0.835 0.000  0.00
Se: 0.604 0.938 0.311  -0.06
Se: 0.062 0.396 0.689  -0.06
Mg: 0.000 0.000 0.500  0.00
Se: 0.938 0.604 0.311  -0.06
Rb: 0.835 0.165 0.000  0.00
U: 0.334 0.666 0.500  2.12

Properties
E_tot = -5.52 eV/atom
size of the total moment = 4.0 μB per formula unit

---

[2]
Below is crystalline Rb3MgU3Se8 at its relaxed geometry, with properties calculated at the PBE level.

Unit cell a=8.335 b=8.336 c=9.472 alpha=116.14 beta=90.00 gamma=120.00
Each line ends with the local moment (μB).
Fractional coordinates of all 15 atoms:
Se: 0.268 0.535 0.303  -0.06
Se: 0.229 0.458 0.689  -0.06
Se: 0.771 0.542 0.311  -0.06
Rb: 0.000 0.500 0.000  0.00
Se: 0.732 0.465 0.697  -0.06
U: 0.500 0.000 0.500  2.35
Rb: 0.000 0.000 0.000  0.00
U: 0.000 0.500 0.500  2.34
Mg: 0.000 0.000 0.500  0.00
U: 0.500 0.500 0.500  2.34
Rb: 0.500 0.500 0.000  0.00
Se: 0.228 0.960 0.688  -0.06
Se: 0.772 0.040 0.312  -0.06
Se: 0.732 0.960 0.688  -0.06
Se: 0.268 0.040 0.312  -0.06

Properties
E_tot = -5.65 eV/atom
size of the total moment = 7.0 μB per formula unit

---

[3]
Below is crystalline RbYMgSe3 at its relaxed geometry, with properties calculated at the PBE level.

Unit cell a=4.276 b=9.348 c=10.264 alpha=109.02 beta=90.00 gamma=90.00
Fractional coordinates of all 12 atoms:
Se: 0.750 0.880 0.135
Se: 0.250 0.531 0.844
Se: 0.750 0.469 0.156
Y: 0.750 0.333 0.867
Mg: 0.250 0.086 0.611
Se: 0.250 0.797 0.455
Rb: 0.250 0.212 0.232
Se: 0.750 0.203 0.545
Se: 0.250 0.120 0.865
Y: 0.250 0.667 0.133
Mg: 0.750 0.914 0.389
Rb: 0.750 0.788 0.768

Properties
E_tot = -4.81 eV/atom
size of the total moment = 0.0 μB per formula unit

---

[4]
Below is crystalline Rb2YMg2Se4 at its relaxed geometry, with properties calculated at the PBE level.

Unit cell a=4.264 b=8.298 c=8.324 alpha=107.10 beta=104.84 gamma=90.00
Each line ends with the local moment (μB).
Fractional coordinates of all 9 atoms:
Se: 0.482 0.232 0.963  0.00
Y: 0.000 0.000 0.000  0.31
Mg: 0.329 0.022 0.658  0.01
Rb: 0.874 0.459 0.748  0.01
Mg: 0.671 0.978 0.342  0.01
Rb: 0.126 0.541 0.252  0.01
Se: 0.202 0.170 0.403  0.00
Se: 0.518 0.768 0.037  0.00
Se: 0.798 0.830 0.597  0.00

Properties
E_tot = -4.14 eV/atom
size of the total moment = 0.8 μB per formula unit

---

[5]
Below is crystalline RbMgZnSe2 at its relaxed geometry, with properties calculated at the PBE level.

Unit cell a=6.996 b=7.959 c=6.119 alpha=112.59 beta=90.00 gamma=90.00
Fractional coordinates of all 10 atoms:
Rb: 0.734 0.500 0.250
Se: 0.298 0.787 0.393
Rb: 0.266 0.500 0.750
Se: 0.298 0.213 0.107
Zn: 0.000 0.000 0.000
Zn: 0.000 0.000 0.500
Se: 0.702 0.787 0.893
Mg: 0.500 0.000 0.750
Se: 0.702 0.213 0.607
Mg: 0.500 0.000 0.250

Properties
E_tot = -2.93 eV/atom
size of the total moment = 0.0 μB per formula unit

---

[6]
Below is crystalline Rb3Mg2ZrSe6 at its relaxed geometry, with properties calculated at the PBE level.

Unit cell a=7.003 b=7.003 c=8.347 alpha=98.02 beta=98.02 gamma=119.99
Fractional coordinates of all 12 atoms:
Se: 0.736 0.736 0.188
Rb: 0.169 0.831 0.500
Se: 0.937 0.611 0.813
Rb: 0.500 0.500 0.500
Se: 0.611 0.937 0.813
Rb: 0.831 0.169 0.500
Zr: 0.000 0.000 0.000
Mg: 0.667 0.333 0.000
Mg: 0.333 0.667 0.000
Se: 0.389 0.063 0.187
Se: 0.063 0.389 0.187
Se: 0.264 0.264 0.812

Properties
E_tot = -4.12 eV/atom
size of the total moment = 0.0 μB per formula unit

---

[7]
Below is crystalline RbMg3Si at its relaxed geometry, with properties calculated at the PBE level.

Unit cell a=6.981 b=6.981 c=6.981 alpha=90.00 beta=90.00 gamma=90.00
Each line ends with the local moment (μB).
Fractional coordinates of all 5 atoms:
Rb: 0.000 0.000 0.000  0.01
Si: 0.500 0.500 0.500  0.59
Mg: 0.000 0.000 0.500  0.01
Mg: 0.500 0.000 0.000  0.02
Mg: 0.000 0.500 0.000  0.01

Properties
excess energy over the best structure of this formula in the dataset = 1233.1 meV per atom
size of the total moment = 2.9 μB per formula unit

---

[8]
Below is crystalline Rb3MgSi at its relaxed geometry, with properties calculated at the PBE level.

Unit cell a=6.853 b=6.853 c=6.853 alpha=90.00 beta=90.00 gamma=90.00
Each line ends with the local moment (μB).
Fractional coordinates of all 5 atoms:
Mg: 0.500 0.500 0.500  -0.01
Rb: 0.500 0.000 0.000  0.01
Rb: 0.000 0.500 0.000  0.02
Si: 0.000 0.000 0.000  0.36
Rb: 0.000 0.000 0.500  0.02

Properties
excess energy over the best structure of this formula in the dataset = 0.0 meV per atom
size of the total moment = 1.0 μB per formula unit

---

[9]
Below is crystalline RbMg6Si at its relaxed geometry, with properties calculated at the PBE level.

Unit cell a=8.747 b=8.747 c=4.327 alpha=90.00 beta=90.00 gamma=137.19
Fractional coordinates of all 8 atoms:
Rb: 0.278 0.722 0.500
Mg: 0.698 0.790 0.000
Mg: 0.827 0.664 0.500
Mg: 0.210 0.302 0.000
Mg: 0.689 0.311 0.000
Si: 0.098 0.902 0.000
Mg: 0.336 0.173 0.500
Mg: 0.863 0.137 0.500

Properties
E_tot = -1.81 eV/atom
size of the total moment = 0.0 μB per formula unit

---

[10]
Below is crystalline RbMg3Si at its relaxed geometry, with properties calculated at the PBE level.

Unit cell a=5.404 b=5.404 c=5.404 alpha=90.00 beta=90.00 gamma=90.00
Fractional coordinates of all 5 atoms:
Mg: 0.000 0.000 0.500
Mg: 0.500 0.000 0.000
Rb: 0.500 0.500 0.500
Mg: 0.000 0.500 0.000
Si: 0.000 0.000 0.000

Properties
excess energy over the best structure of this formula in the dataset = 0.0 meV per atom
size of the total moment = 0.0 μB per formula unit

---

[11]
Below is crystalline RbMg2Si at its relaxed geometry, with properties calculated at the PBE level.

Unit cell a=6.153 b=6.153 c=9.532 alpha=71.17 beta=71.17 gamma=90.00
Fractional coordinates of all 8 atoms:
Mg: 0.375 0.625 0.250
Mg: 0.375 0.125 0.250
Mg: 0.375 0.625 0.750
Rb: 0.750 0.250 0.500
Mg: 0.875 0.625 0.750
Rb: 0.000 0.000 0.000
Si: 0.250 0.750 0.500
Si: 0.500 0.500 0.000

Properties
E_tot = -2.09 eV/atom
size of the total moment = 0.0 μB per formula unit

---

[12]
Below is crystalline RbMgSi2 at its relaxed geometry, with properties calculated at the PBE level.

Unit cell a=5.160 b=5.160 c=9.932 alpha=74.94 beta=74.94 gamma=90.00
Fractional coordinates of all 8 atoms:
Si: 0.375 0.125 0.250
Mg: 0.250 0.750 0.500
Si: 0.875 0.625 0.750
Si: 0.375 0.625 0.750
Rb: 0.750 0.250 0.500
Rb: 0.000 0.000 0.000
Si: 0.375 0.625 0.250
Mg: 0.500 0.500 0.000

Properties
E_tot = -3.02 eV/atom
size of the total moment = 0.0 μB per formula unit